[1]
Compound: Mg2Cu7Sn2Au
Source: the Alexandria database
Functional: PBE
Structure: optimized geometry

Lattice parameters (Å, degrees): 3.6230 3.6230 15.6955 95.65 95.65 89.78
With the nearest neighbours (Å) after each atom.
Sites, in units of the cell vectors:
Mg 0.1090 0.1090 0.2609  5 Cu 2.73-2.98
Mg 0.8910 0.8910 0.7391  5 Cu 2.73-2.98
Cu 0.0000 0.0000 0.0000  4 Au 2.56-2.57, 8 Cu 2.70-2.71
Cu 0.0554 0.5559 0.1292  6 Cu 2.55-2.71, 2 Au 2.70-2.71, 2 Mg 2.73-2.74
Cu 0.1859 0.1859 0.4525  1 Cu 2.58, 5 Sn 2.67-2.83
Cu 0.4441 0.9446 0.8708  6 Cu 2.55-2.71, 2 Au 2.70-2.71, 2 Mg 2.73-2.74
Cu 0.5559 0.0554 0.1292  6 Cu 2.55-2.71, 2 Au 2.70-2.71, 2 Mg 2.73-2.74
Cu 0.8141 0.8141 0.5475  1 Cu 2.58, 5 Sn 2.67-2.83
Cu 0.9446 0.4441 0.8708  6 Cu 2.55-2.71, 2 Au 2.70-2.71, 2 Mg 2.73-2.74
Sn 0.3492 0.3492 0.6213  5 Cu 2.67-2.83
Sn 0.6508 0.6508 0.3787  5 Cu 2.67-2.83
Au 0.5000 0.5000 0.0000  12 Cu 2.56-2.71

Properties
ΔH_f (0 K), meV per atom: 61.4
SG: No. 12


[2]
Compound: Tl2InSnH
Source: the Alexandria database
Functional: PBE
Structure: optimized geometry

Lattice parameters (Å, degrees): 4.9726 4.9726 4.9182 90.00 90.00 90.00
With the nearest neighbours (Å) after each atom.
Sites, in units of the cell vectors:
Tl 0.0000 0.5000 0.0000  2 H 2.49
Tl 0.5000 0.0000 0.0000  2 H 2.49
In 0.0000 0.0000 0.5000  2 H 2.46
Sn 0.5000 0.5000 0.5000  8 Tl 3.50, 4 In 3.52
H 0.0000 0.0000 0.0000  2 In 2.46, 4 Tl 2.49

Properties
SG: No. 123
Total DFT energy (no corrections), eV per atom: -2.757


[3]
Compound: Ce3Th
Source: the Alexandria database
Functional: PBE
Structure: optimized geometry

Lattice parameters (Å, degrees): 6.5472 6.5472 6.5472 150.52 63.98 124.63
With the nearest neighbours (Å) after each atom.
Sites, in units of the cell vectors:
Ce 0.0000 0.0000 0.0000  4 Ce 3.01-3.33
Ce 0.0172 0.7753 0.2419  3 Ce 3.01-3.33, 1 Th 3.19
Ce 0.5334 0.7753 0.7581  3 Ce 3.01-3.33, 1 Th 3.19
Th 0.5058 0.0058 0.5000  10 Ce 3.19-3.56, 2 Th 3.33

Properties
ΔH_f (0 K), meV per atom: 72.8
SG: No. 44


[4]
Compound: ZrNi2SeI
Source: the Alexandria database
Functional: PBE
Structure: optimized geometry

Lattice parameters (Å, degrees): 4.8440 4.8440 5.4594 90.00 90.00 90.00
With the nearest neighbours (Å) after each atom.
Sites, in units of the cell vectors:
Zr 0.0000 0.0000 0.0000  4 Ni 2.42
Ni 0.0000 0.5000 0.0000  2 Zr 2.42
Ni 0.5000 0.0000 0.0000  2 Zr 2.42
Se 0.5000 0.5000 0.5000  4 I 3.43, 8 Ni 3.65
I 0.0000 0.0000 0.5000  2 Zr 2.73

Properties
SG: No. 123
Total DFT energy (no corrections), eV per atom: -3.956


[5]
Compound: TmCu2Ag
Source: the Alexandria database
Functional: PBE
Structure: optimized geometry

Lattice parameters (Å, degrees): 3.3664 3.3664 6.1450 90.00 90.00 90.00
With the nearest neighbours (Å) after each atom.
Sites, in units of the cell vectors:
Tm 0.0000 0.0000 0.0000  8 Cu 2.94, 2 Ag 3.07
Cu 0.5000 0.5000 0.2807  1 Cu 2.70, 4 Ag 2.74, 4 Tm 2.94
Cu 0.5000 0.5000 0.7193  1 Cu 2.70, 4 Ag 2.74, 4 Tm 2.94
Ag 0.0000 0.0000 0.5000  8 Cu 2.74

Properties
ΔH_f (0 K), meV per atom: -115.1
SG: No. 123


[6]
Compound: LiSn2Rh
Source: the Alexandria database
Functional: PBE
Structure: optimized geometry

Lattice parameters (Å, degrees): 9.6499 9.6499 9.6499 19.50 19.50 19.50
With the nearest neighbours (Å) after each atom.
Sites, in units of the cell vectors:
Li 0.0000 0.0000 0.0000  2 Sn 2.73
Sn 0.0963 0.0963 0.0963  1 Li 2.73, 3 Rh 2.75
Sn 0.9037 0.9037 0.9037  1 Li 2.73, 3 Rh 2.75
Rh 0.5000 0.5000 0.5000  6 Sn 2.75

Properties
ΔH_f (0 K), meV per atom: -173.3
SG: No. 166